[1]
# RbMnBeSe3 (PBE, relaxed)
data_RbMnBeSe3
_cell_length_a 3.7126
_cell_length_b 9.1826
_cell_length_c 9.7471
_cell_angle_alpha 110.75
_cell_angle_beta 90.00
_cell_angle_gamma 90.00
_symmetry_space_group_name_H-M 'P 1'
_symmetry_Int_Tables_number 1
_symmetry_space_group_name_Hall 'P 1'
loop_
_atom_site_label
_atom_site_type_symbol
_atom_site_fract_x
_atom_site_fract_y
_atom_site_fract_z
Rb1 Rb 0.2500 0.2066 0.2341
Rb2 Rb 0.7500 0.7934 0.7659
Mn1 Mn 0.2500 0.6565 0.1322
Mn2 Mn 0.7500 0.3435 0.8678
Be1 Be 0.2500 0.0833 0.5962
Be2 Be 0.7500 0.9167 0.4038
Se1 Se 0.7500 0.8527 0.1559
Se2 Se 0.2500 0.1473 0.8441
Se3 Se 0.2500 0.8206 0.4760
Se4 Se 0.7500 0.1794 0.5240
Se5 Se 0.7500 0.4831 0.1576
Se6 Se 0.2500 0.5169 0.8424
# **Formation energy without anion corrections**: -441 kJ/mol of formula units
# **Space group**: No. 11


[2]
# Rb2MnBeSe4 (PBE, relaxed)
data_Rb2MnBeSe4
_cell_length_a 5.8863
_cell_length_b 7.3956
_cell_length_c 12.3824
_cell_angle_alpha 84.57
_cell_angle_beta 76.25
_cell_angle_gamma 66.55
_symmetry_space_group_name_H-M 'P 1'
_symmetry_Int_Tables_number 1
_symmetry_space_group_name_Hall 'P 1'
loop_
_atom_site_label
_atom_site_type_symbol
_atom_site_fract_x
_atom_site_fract_y
_atom_site_fract_z
Rb1 Rb 0.1799 0.0000 0.6401
Rb2 Rb 0.8201 0.0000 0.3599
Rb3 Rb 0.5701 0.5000 0.8599
Rb4 Rb 0.9299 0.5000 0.1401
Mn1 Mn 0.7500 0.5000 0.5000
Mn2 Mn 0.0000 0.0000 0.0000
Be1 Be 0.2500 0.5000 0.5000
Be2 Be 0.5000 0.0000 0.0000
Se1 Se 0.2961 0.8216 0.1065
Se2 Se 0.2242 0.1784 0.8935
Se3 Se 0.8823 0.8216 0.8935
Se4 Se 0.5974 0.1784 0.1065
Se5 Se 0.4539 0.6784 0.3935
Se6 Se 0.5258 0.3216 0.6065
Se7 Se 0.8677 0.6784 0.6065
Se8 Se 0.1526 0.3216 0.3935
# **Formation energy without anion corrections**: -637 kJ/mol of formula units
# **Space group**: No. 70


[3]
# RbMnBe2Tc (PBE, relaxed)
data_RbMnBe2Tc
_cell_length_a 4.4897
_cell_length_b 5.3544
_cell_length_c 4.4897
_cell_angle_alpha 90.00
_cell_angle_beta 90.00
_cell_angle_gamma 90.00
_symmetry_space_group_name_H-M 'P 1'
_symmetry_Int_Tables_number 1
_symmetry_space_group_name_Hall 'P 1'
loop_
_atom_site_label
_atom_site_type_symbol
_atom_site_fract_x
_atom_site_fract_y
_atom_site_fract_z
Be1 Be 0.0000 0.0000 0.5000
Be2 Be 0.5000 0.0000 0.0000
Mn1 Mn 0.0000 0.0000 0.0000
Tc1 Tc 0.5000 0.5000 0.5000
Rb1 Rb 0.0000 0.5000 0.0000
# **Energy of formation**: 190.2 kJ per mole of atoms
# **Space group**: No. 123


[4]
# RbMnBeTe3 (PBE, relaxed)
data_RbMnBeTe3
_cell_length_a 4.0106
_cell_length_b 9.8581
_cell_length_c 10.4410
_cell_angle_alpha 110.49
_cell_angle_beta 90.00
_cell_angle_gamma 90.00
_symmetry_space_group_name_H-M 'P 1'
_symmetry_Int_Tables_number 1
_symmetry_space_group_name_Hall 'P 1'
loop_
_atom_site_label
_atom_site_type_symbol
_atom_site_fract_x
_atom_site_fract_y
_atom_site_fract_z
Rb1 Rb 0.2500 0.1996 0.2300
Rb2 Rb 0.7500 0.8004 0.7700
Mn1 Mn 0.2500 0.6537 0.1247
Mn2 Mn 0.7500 0.3463 0.8753
Be1 Be 0.2500 0.0815 0.5935
Be2 Be 0.7500 0.9185 0.4065
Te1 Te 0.7500 0.8522 0.1528
Te2 Te 0.2500 0.1478 0.8472
Te3 Te 0.2500 0.8130 0.4764
Te4 Te 0.7500 0.1870 0.5236
Te5 Te 0.7500 0.4824 0.1603
Te6 Te 0.2500 0.5176 0.8397
# **Formation energy without anion corrections**: -256 kJ/mol of formula units
# **Space group**: No. 11


[5]
# RbZrMnBe2 (PBE, relaxed)
data_RbZrMnBe2
_cell_length_a 4.9163
_cell_length_b 5.5555
_cell_length_c 4.9163
_cell_angle_alpha 90.00
_cell_angle_beta 90.00
_cell_angle_gamma 90.00
_symmetry_space_group_name_H-M 'P 1'
_symmetry_Int_Tables_number 1
_symmetry_space_group_name_Hall 'P 1'
loop_
_atom_site_label
_atom_site_type_symbol
_atom_site_fract_x
_atom_site_fract_y
_atom_site_fract_z
Be1 Be 0.0000 0.0000 0.5000
Be2 Be 0.5000 0.0000 0.0000
Mn1 Mn 0.5000 0.5000 0.5000
Rb1 Rb 0.0000 0.5000 0.0000
Zr1 Zr 0.0000 0.0000 0.0000
# **Energy of formation**: 184.6 kJ per mole of atoms
# **Space group**: No. 123


[6]
# MnBeRe (PBE, relaxed)
data_MnBeRe
_cell_length_a 4.9738
_cell_length_b 4.9738
_cell_length_c 9.4150
_cell_angle_alpha 90.00
_cell_angle_beta 90.00
_cell_angle_gamma 120.00
_symmetry_space_group_name_H-M 'P 1'
_symmetry_Int_Tables_number 1
_symmetry_space_group_name_Hall 'P 1'
loop_
_atom_site_label
_atom_site_type_symbol
_atom_site_fract_x
_atom_site_fract_y
_atom_site_fract_z
Re1 Re 0.5000 0.0000 0.6667
Re2 Re 0.0000 0.0000 0.5000
Re3 Re 0.0000 0.0000 0.8333
Re4 Re 0.0000 0.0000 0.1667
Re5 Re 0.5000 0.5000 0.0000
Re6 Re 0.0000 0.5000 0.3333
Be1 Be 0.3902 0.7803 0.1667
Be2 Be 0.7803 0.3902 0.8333
Be3 Be 0.6098 0.3902 0.5000
Be4 Be 0.6098 0.2197 0.1667
Be5 Be 0.3902 0.6098 0.5000
Be6 Be 0.2197 0.6098 0.8333
Mn1 Mn 0.5000 0.5000 0.2957
Mn2 Mn 0.0000 0.5000 0.6290
Mn3 Mn 0.5000 0.5000 0.7043
Mn4 Mn 0.0000 0.5000 0.0376
Mn5 Mn 0.5000 0.0000 0.9624
Mn6 Mn 0.5000 0.0000 0.3710
# **Energy above the lowest structure with this stoichiometry**: 1.05 eV per formula unit
# **Energy of formation**: 22.4 kJ per mole of atoms
# **Space group**: No. 180


[7]
# Mn2BeRe (PBE, relaxed)
data_Mn2BeRe
_cell_length_a 4.6410
_cell_length_b 4.6410
_cell_length_c 3.9982
_cell_angle_alpha 64.44
_cell_angle_beta 64.44
_cell_angle_gamma 36.38
_symmetry_space_group_name_H-M 'P 1'
_symmetry_Int_Tables_number 1
_symmetry_space_group_name_Hall 'P 1'
loop_
_atom_site_label
_atom_site_type_symbol
_atom_site_fract_x
_atom_site_fract_y
_atom_site_fract_z
Re1 Re 0.4995 0.4995 0.5009
Mn1 Mn 0.0040 0.0040 0.9968
Mn2 Mn 0.2550 0.2550 0.2446
Be1 Be 0.7415 0.7415 0.7577
# **Energy of formation**: -1.1 kJ per mole of atoms
# **Space group**: No. 44


[8]
# Mn2BeRe (PBE, relaxed)
data_Mn2BeRe
_cell_length_a 4.0066
_cell_length_b 2.5267
_cell_length_c 4.6049
_cell_angle_alpha 79.71
_cell_angle_beta 90.00
_cell_angle_gamma 90.00
_symmetry_space_group_name_H-M 'P 1'
_symmetry_Int_Tables_number 1
_symmetry_space_group_name_Hall 'P 1'
loop_
_atom_site_label
_atom_site_type_symbol
_atom_site_fract_x
_atom_site_fract_y
_atom_site_fract_z
Re1 Re 0.5000 0.2500 0.2500
Mn1 Mn 0.0000 0.0198 0.9775
Mn2 Mn 0.0000 0.4802 0.5225
Be1 Be 0.5000 0.7500 0.7500
# **Energy of formation**: 5.1 kJ per mole of atoms
# **Space group**: No. 10


| no. | total magnetic moment (μB/cell) |
| --- | --- |
| 1 | 8.00 |
| 2 | 6.00 |
| 3 | 6.57 |
| 4 | 8.00 |
| 5 | 3.92 |
| 6 | 0.00 |
| 7 | 0.88 |
| 8 | 0.77 |